No. 1
A plane-wave DFT calculation with PBE was carried out for a relaxed KMg2Tc crystal.

abc: 5.0997 5.0997 5.0997
angles: 60.00 60.00 60.00
Closest atoms and distances in Å follow each position.
Fractional positions:
K 0.0000 0.0000 0.0000  8 Mg 3.12
Mg 0.2500 0.2500 0.2500  4 Tc 3.12, 4 K 3.12
Mg 0.7500 0.7500 0.7500  4 Tc 3.12, 4 K 3.12
Tc 0.5000 0.5000 0.5000  8 Mg 3.12

Results
- SG = No. 225
- relative energy among the computed polymorphs (meV per atom) = 385
- calculated formation energy (eV/f.u.) = 3.37

***

No. 2
A plane-wave DFT calculation with PBE was carried out for a relaxed Ce2Si3Pt3 crystal.

abc: 2.7575 2.7575 20.6431
angles: 90.00 90.00 90.00
Closest atoms and distances in Å follow each position.
Fractional positions:
Ce 0.0000 0.0000 0.2477  1 Pt 2.75, 4 Ce 2.76, 1 Si 2.85
Ce 0.0000 0.0000 0.7523  1 Pt 2.75, 4 Ce 2.76, 1 Si 2.85
Si 0.0000 0.0000 0.0000  2 Pt 2.37
Si 0.0000 0.0000 0.3860  1 Pt 2.35
Si 0.0000 0.0000 0.6140  1 Pt 2.35
Pt 0.0000 0.0000 0.1147  1 Si 2.37
Pt 0.0000 0.0000 0.5000  2 Si 2.35
Pt 0.0000 0.0000 0.8853  1 Si 2.37

Results
- ΔE_f (raw) (meV/atom) = 193
- SG = No. 123

***

No. 3
A plane-wave DFT calculation with PBE was carried out for a relaxed CaPa2CuS6 crystal.

abc: 6.0253 6.0253 6.6708
angles: 90.00 90.00 90.00
Closest atoms and distances in Å follow each position.
Fractional positions:
Ca 0.0000 0.0000 0.0000  5 S 2.64-2.68
Pa 0.0000 0.5000 0.4524  4 S 2.67
Pa 0.5000 0.0000 0.4524  4 S 2.67
Cu 0.5000 0.5000 0.9902  5 S 2.26-2.50
S 0.0000 0.0000 0.5978  1 Ca 2.68
S 0.2625 0.2625 0.2109  1 Cu 2.50, 1 Ca 2.64, 2 Pa 2.67
S 0.2625 0.7375 0.2109  1 Cu 2.50, 1 Ca 2.64, 2 Pa 2.67
S 0.5000 0.5000 0.6519  1 Cu 2.26
S 0.7375 0.2625 0.2109  1 Cu 2.50, 1 Ca 2.64, 2 Pa 2.67
S 0.7375 0.7375 0.2109  1 Cu 2.50, 1 Ca 2.64, 2 Pa 2.67

Results
- ΔE_f (raw) (meV/atom) = -1066
- SG = No. 99

***

No. 4
A plane-wave DFT calculation with PBE was carried out for a relaxed VPd2Rh crystal.

abc: 4.3805 4.3805 4.3805
angles: 60.00 60.00 60.00
Closest atoms and distances in Å follow each position.
Fractional positions:
V 0.0000 0.0000 0.0000  8 Pd 2.68
Pd 0.2500 0.2500 0.2500  4 Rh 2.68, 4 V 2.68
Pd 0.7500 0.7500 0.7500  4 Rh 2.68, 4 V 2.68
Rh 0.5000 0.5000 0.5000  8 Pd 2.68

Results
- SG = No. 225
- relative energy among the computed polymorphs (meV per atom) = 266
- calculated formation energy (eV/f.u.) = 0.05

***

No. 5
A plane-wave DFT calculation with PBE was carried out for a relaxed TlBi2P crystal.

abc: 9.4542 9.4542 9.4542
angles: 23.44 23.44 23.44
Closest atoms and distances in Å follow each position.
Fractional positions:
Tl 0.0000 0.0000 0.0000  6 Bi 3.56, 6 Tl 3.84
Bi 0.2321 0.2321 0.2321  3 P 2.86
Bi 0.7679 0.7679 0.7679  3 P 2.86
P 0.5000 0.5000 0.5000  6 Bi 2.86

Results
- SG = No. 166
- relative energy among the computed polymorphs (meV per atom) = 0
- calculated formation energy (eV/f.u.) = 0.57

***

No. 6
A plane-wave DFT calculation with PBE was carried out for a relaxed In2SbW crystal.

abc: 5.3727 5.3727 5.3727
angles: 130.70 130.70 72.29
Closest atoms and distances in Å follow each position.
Fractional positions:
In 0.0000 0.0000 0.0000  4 In 3.12, 4 Sb 3.12, 4 W 3.17
In 0.7500 0.2500 0.5000  4 W 3.12, 4 In 3.12, 4 Sb 3.17
Sb 0.2500 0.7500 0.5000  4 W 3.12, 8 In 3.12-3.17
W 0.5000 0.5000 0.0000  8 In 3.12-3.17, 4 Sb 3.12

Results
- ΔE_f (raw) (meV/atom) = 744
- SG = No. 119

***

No. 7
A plane-wave DFT calculation with PBE was carried out for a relaxed BaTc2Ag crystal.

abc: 5.8988 5.8988 2.7934
angles: 90.00 90.00 121.55
Closest atoms and distances in Å follow each position.
Fractional positions:
Ba 0.0000 0.0000 0.0000  2 Ba 2.79, 2 Ag 2.88
Tc 0.0000 0.5000 0.5000  4 Tc 2.79-2.88
Tc 0.5000 0.0000 0.5000  4 Tc 2.79-2.88
Ag 0.5000 0.5000 0.0000  2 Ag 2.79, 2 Ba 2.88

Results
- SG = No. 65
- relative energy among the computed polymorphs (meV per atom) = 793
- calculated formation energy (eV/f.u.) = 4.88

***

No. 8
A plane-wave DFT calculation with PBE was carried out for a relaxed YLuInOs crystal.

abc: 4.9948 4.9948 4.9948
angles: 60.00 60.00 60.00
Closest atoms and distances in Å follow each position.
Fractional positions:
Y 0.0000 0.0000 0.0000  4 Os 3.06, 4 In 3.06
Lu 0.5000 0.5000 0.5000  4 Os 3.06, 4 In 3.06
In 0.2500 0.2500 0.2500  4 Lu 3.06, 4 Y 3.06
Os 0.7500 0.7500 0.7500  4 Y 3.06, 4 Lu 3.06

Results
- SG = No. 216
- calculated formation energy (eV/f.u.) = -1.07

***

No. 9
A plane-wave DFT calculation with PBE was carried out for a relaxed AcPr3Sn crystal.

abc: 8.9463 9.2249 10.5020
angles: 90.00 124.75 90.00
Closest atoms and distances in Å follow each position.
Fractional positions:
Ac 0.1474 0.0737 0.4093  2 Sn 3.46-3.76, 7 Pr 3.52-3.87
Ac 0.1474 0.4263 0.9093  2 Sn 3.46-3.76, 7 Pr 3.52-3.87
Ac 0.8526 0.5737 0.0907  2 Sn 3.46-3.76, 7 Pr 3.52-3.87
Ac 0.8526 0.9263 0.5907  2 Sn 3.46-3.76, 7 Pr 3.52-3.87
Pr 0.1153 0.6784 0.5138  2 Sn 3.25-3.41, 1 Pr 3.58
Pr 0.1153 0.8216 0.0138  2 Sn 3.25-3.41, 1 Pr 3.58
Pr 0.2951 0.0684 0.8380  2 Sn 3.29-3.34, 3 Pr 3.52-3.54, 1 Ac 3.52
Pr 0.2951 0.4316 0.3380  2 Sn 3.29-3.34, 3 Pr 3.52-3.54, 1 Ac 3.52
Pr 0.4243 0.1039 0.2540  3 Sn 3.28-3.42, 3 Pr 3.52-3.58, 1 Ac 3.67
Pr 0.4243 0.3961 0.7540  3 Sn 3.28-3.42, 3 Pr 3.52-3.58, 1 Ac 3.67
Pr 0.5757 0.6039 0.2460  3 Sn 3.28-3.42, 3 Pr 3.52-3.58, 1 Ac 3.67
Pr 0.5757 0.8961 0.7460  3 Sn 3.28-3.42, 3 Pr 3.52-3.58, 1 Ac 3.67
Pr 0.7049 0.5684 0.6620  2 Sn 3.29-3.34, 3 Pr 3.52-3.54, 1 Ac 3.52
Pr 0.7049 0.9316 0.1620  2 Sn 3.29-3.34, 3 Pr 3.52-3.54, 1 Ac 3.52
Pr 0.8847 0.1784 0.9862  2 Sn 3.25-3.41, 1 Pr 3.58
Pr 0.8847 0.3216 0.4862  2 Sn 3.25-3.41, 1 Pr 3.58
Sn 0.3760 0.7181 0.8880  7 Pr 3.25-3.42, 1 Ac 3.46
Sn 0.3760 0.7819 0.3880  7 Pr 3.25-3.42, 1 Ac 3.46
Sn 0.6240 0.2181 0.6120  7 Pr 3.25-3.42, 1 Ac 3.46
Sn 0.6240 0.2819 0.1120  7 Pr 3.25-3.42, 1 Ac 3.46

Results
- SG = No. 14
- calculated formation energy (eV/f.u.) = -1.28

***

No. 10
A plane-wave DFT calculation with PBE was carried out for a relaxed KYVI6 crystal.

abc: 7.6061 7.6061 15.8343
angles: 90.00 90.00 120.00
Closest atoms and distances in Å follow each position.
Fractional positions:
K 0.0000 0.0000 0.0000  6 I 3.59
K 0.0000 0.0000 0.5000  6 I 3.59
Y 0.3333 0.6667 0.2500  6 I 3.04
Y 0.6667 0.3333 0.7500  6 I 3.04
V 0.3333 0.6667 0.7500  6 I 2.87
V 0.6667 0.3333 0.2500  6 I 2.87
I 0.0177 0.3747 0.6431  1 V 2.87, 1 Y 3.04
I 0.0177 0.6430 0.8569  1 V 2.87, 1 Y 3.04
I 0.3570 0.3747 0.8569  1 V 2.87, 1 Y 3.04
I 0.3570 0.9823 0.6431  1 V 2.87, 1 Y 3.04
I 0.3747 0.0177 0.1431  1 V 2.87, 1 Y 3.04
I 0.3747 0.3570 0.3569  1 V 2.87, 1 Y 3.04
I 0.6253 0.6430 0.6431  1 V 2.87, 1 Y 3.04
I 0.6253 0.9823 0.8569  1 V 2.87, 1 Y 3.04
I 0.6430 0.0177 0.3569  1 V 2.87, 1 Y 3.04
I 0.6430 0.6253 0.1431  1 V 2.87, 1 Y 3.04
I 0.9823 0.3570 0.1431  1 V 2.87, 1 Y 3.04
I 0.9823 0.6253 0.3569  1 V 2.87, 1 Y 3.04

Results
- ΔE_f (raw) (meV/atom) = -1084
- SG = No. 163

***

No. 11
A plane-wave DFT calculation with PBE was carried out for a relaxed Y2Co3SiNi12 crystal.

abc: 9.0268 9.0268 9.0268
angles: 38.38 38.38 38.38
Closest atoms and distances in Å follow each position.
Fractional positions:
Y 0.1503 0.1503 0.1503  6 Ni 2.88-2.89
Y 0.8497 0.8497 0.8497  6 Ni 2.88-2.89
Co 0.0000 0.5000 0.5000  6 Ni 2.27-2.48
Co 0.5000 0.0000 0.5000  6 Ni 2.27-2.48
Co 0.5000 0.5000 0.0000  6 Ni 2.27-2.48
Si 0.5000 0.5000 0.5000  6 Ni 2.25
Ni 0.0826 0.0826 0.6889  2 Co 2.27, 4 Ni 2.34-2.38
Ni 0.0826 0.6889 0.0826  2 Co 2.27, 4 Ni 2.34-2.38
Ni 0.1470 0.5740 0.5740  1 Si 2.25, 2 Ni 2.38, 1 Co 2.48
Ni 0.3111 0.9174 0.9174  2 Co 2.27, 4 Ni 2.34-2.38
Ni 0.4260 0.4260 0.8530  1 Si 2.25, 2 Ni 2.38, 1 Co 2.48
Ni 0.4260 0.8530 0.4260  1 Si 2.25, 2 Ni 2.38, 1 Co 2.48
Ni 0.5740 0.1470 0.5740  1 Si 2.25, 2 Ni 2.38, 1 Co 2.48
Ni 0.5740 0.5740 0.1470  1 Si 2.25, 2 Ni 2.38, 1 Co 2.48
Ni 0.6889 0.0826 0.0826  2 Co 2.27, 4 Ni 2.34-2.38
Ni 0.8530 0.4260 0.4260  1 Si 2.25, 2 Ni 2.38, 1 Co 2.48
Ni 0.9174 0.3111 0.9174  2 Co 2.27, 4 Ni 2.34-2.38
Ni 0.9174 0.9174 0.3111  2 Co 2.27, 4 Ni 2.34-2.38

Results
- ΔE_f (raw) (meV/atom) = 153
- SG = No. 166

***

No. 12
A plane-wave DFT calculation with PBE was carried out for a relaxed CsLiCoI4 crystal.

abc: 6.6792 8.2297 10.9694
angles: 90.00 107.53 90.00
Closest atoms and distances in Å follow each position.
Fractional positions:
Cs 0.1735 0.2500 0.3716  7 I 3.93-4.23
Cs 0.8265 0.7500 0.6284  7 I 3.93-4.23
Li 0.3885 0.2500 0.9885  5 I 2.78-3.07
Li 0.6115 0.7500 0.0115  5 I 2.78-3.07
Co 0.3363 0.7500 0.2077  4 I 2.55-2.60
Co 0.6637 0.2500 0.7923  4 I 2.55-2.60
I 0.0245 0.7500 0.0043  1 Co 2.55, 1 Li 2.78
I 0.2319 0.7500 0.4148  1 Co 2.57
I 0.4287 0.0011 0.8001  1 Co 2.60
I 0.4287 0.4989 0.8001  1 Co 2.60
I 0.5713 0.5011 0.1999  1 Co 2.60
I 0.5713 0.9989 0.1999  1 Co 2.60
I 0.7681 0.2500 0.5852  1 Co 2.57
I 0.9755 0.2500 0.9957  1 Co 2.55, 1 Li 2.78

Results
- ΔE_f (raw) (meV/atom) = -787
- SG = No. 11

***

What did the fifth record say?
A plane-wave DFT calculation with PBE was carried out for a relaxed TlBi2P crystal.

abc: 9.4542 9.4542 9.4542
angles: 23.44 23.44 23.44
Closest atoms and distances in Å follow each position.
Fractional positions:
Tl 0.0000 0.0000 0.0000  6 Bi 3.56, 6 Tl 3.84
Bi 0.2321 0.2321 0.2321  3 P 2.86
Bi 0.7679 0.7679 0.7679  3 P 2.86
P 0.5000 0.5000 0.5000  6 Bi 2.86

Results
- SG = No. 166
- relative energy among the computed polymorphs (meV per atom) = 0
- calculated formation energy (eV/f.u.) = 0.57